This record from Alexandria describes a relaxed BaHgGe crystal. The functional is PBE.

abc: 9.9810 4.3155 9.4420
angles: 90.00 90.00 90.00
Last column: nearest neighbours and their distance in Å.
Sites, in units of the cell vectors:
Ba 0.2082 0.2500 0.0968  4 Ge 3.38-3.65, 5 Hg 3.51-3.62
Ba 0.2918 0.7500 0.5968  4 Ge 3.38-3.65, 5 Hg 3.51-3.62
Ba 0.7082 0.2500 0.4032  4 Ge 3.38-3.65, 5 Hg 3.51-3.62
Ba 0.7918 0.7500 0.9032  4 Ge 3.38-3.65, 5 Hg 3.51-3.62
Hg 0.0476 0.2500 0.7656  3 Ge 2.95-3.21
Hg 0.4524 0.7500 0.2656  3 Ge 2.95-3.21
Hg 0.5476 0.2500 0.7344  3 Ge 2.95-3.21
Hg 0.9524 0.7500 0.2344  3 Ge 2.95-3.21
Ge 0.0683 0.2500 0.4538  2 Ge 2.70, 1 Hg 2.95
Ge 0.4317 0.7500 0.9538  2 Ge 2.70, 1 Hg 2.95
Ge 0.5683 0.2500 0.0462  2 Ge 2.70, 1 Hg 2.95
Ge 0.9317 0.7500 0.5462  2 Ge 2.70, 1 Hg 2.95

Results
Total DFT energy (no corrections), eV per atom: -2.66
Density of states at the Fermi level, states/eV/f.u.: 1.223
Density, g cm⁻³: 6.705
Energy relative to the elements, kJ/mol of formula units: -109